# 1
## Nd6Zn3N (GGA-PBE)

Data for crystalline Nd6Zn3N at its relaxed geometry.

Structure (POSCAR):
```
Nd6Zn3N
1.0
-3.5582 2.8174 4.9125
-5.5850 -5.7991 -0.7194
4.2130 -4.9959 7.5638
Nd Zn N
12 6 2
Cartesian
0.7126 -3.6871 10.3749
-1.0493 -2.3320 7.1844
-3.7103 -2.1109 4.9217
-1.2199 -5.8667 6.8351
-3.8809 -5.6455 4.5725
-5.6428 -4.2905 1.3819
-0.7085 -3.7334 3.9959
-1.7391 -1.6190 0.8996
2.4127 -3.6944 6.5356
-7.3429 -4.2832 5.2212
-3.1911 -6.3585 10.8573
-4.2217 -4.2442 7.7609
-3.8560 -7.2336 7.8167
-4.5716 -1.4908 2.0965
-1.0742 -0.7440 3.9401
-2.6695 -4.5724 1.7736
2.1065 -2.4979 3.7819
-2.2607 -3.4052 9.9833
-2.4651 -3.9888 5.8784
0.0000 0.0000 0.0000
```

Properties
Symmetry: No. 14
Mass density, g/cm³: 6.66
Formation energy (no corrections), eV per atom: -0.367
N(E_F), states/eV per cell: 22.09
Total magnetization, μB/f.u.: 0.00

=====

# 2
## Sc2SiSe (GGA-PBE)

Data for crystalline Sc2SiSe at its relaxed geometry.

Structure (POSCAR):
```
Sc2SiSe
1.0
0.0000 3.3863 3.3863
3.3863 0.0000 3.3863
3.3863 3.3863 0.0000
Sc Si Se
2 1 1
Cartesian
1.6932 1.6932 1.6932
5.0795 5.0795 5.0795
0.0000 0.0000 0.0000
3.3863 3.3863 3.3863
```

Properties
Symmetry: No. 225
Mass density, g/cm³: 4.21
Energy above the most stable polymorph in this dataset, eV/f.u.: 2.13
Formation energy (no corrections), eV per atom: -0.719
N(E_F), states/eV per cell: 2.07
Total magnetization, μB/f.u.: 0.00

=====

# 3
## Nd2HoCo (GGA-PBE)

Data for crystalline Nd2HoCo at its relaxed geometry.

Structure (POSCAR):
```
Nd2HoCo
1.0
-2.0696 -0.4165 3.1957
-3.7698 -0.6368 -0.2293
-0.4049 -9.4115 0.8063
Nd Ho Co
2 1 1
Cartesian
-0.6762 -7.8169 0.8384
-1.6745 -1.9494 0.9566
-3.1247 -5.2174 1.8867
-3.8910 -0.7135 1.9774
```

Properties
Symmetry: No. 160
Mass density, g/cm³: 7.29
Energy above the most stable polymorph in this dataset, eV/f.u.: 0.71
N(E_F), states/eV per cell: 5.59
Total magnetization, μB/f.u.: 0.30
ΔE_f, eV/atom: 0.0867

=====

# 4
## AcPm2Si2Pt7 (GGA-PBE)

Data for crystalline AcPm2Si2Pt7 at its relaxed geometry.

Structure (POSCAR):
```
AcPm2Si2Pt7
1.0
4.1810 0.0533 -0.0982
0.0584 4.1809 -0.0982
1.7516 1.7495 13.7622
Ac Pm Si Pt
1 2 2 7
Cartesian
0.0000 0.0000 0.0000
4.4075 4.4021 4.7924
1.5834 1.5815 8.7734
3.8224 3.8178 10.0766
2.1685 2.1659 3.4893
2.1197 2.1171 -0.0982
2.3556 2.3528 5.8062
3.6353 3.6309 7.7597
4.2334 2.1826 2.2504
2.1878 4.2308 2.2504
3.8031 1.7528 11.3155
1.7575 3.8010 11.3155
```

Properties
Symmetry: No. 12
Mass density, g/cm³: 13.31
Formation energy (no corrections), eV per atom: -1.002
N(E_F), states/eV per cell: 6.00
Total magnetization, μB/f.u.: 0.00

=====

# 5
## NdHoScTl (GGA-PBE)

Data for crystalline NdHoScTl at its relaxed geometry.

Structure (POSCAR):
```
NdHoScTl
1.0
-2.0420 2.6961 3.4481
-3.9135 0.4233 -2.6486
-1.8042 -3.9653 2.0320
Nd Ho Sc Tl
1 1 1 1
Cartesian
-2.9777 1.5597 0.3997
-1.9231 -0.6346 2.7400
0.0000 0.0000 0.0000
-2.8588 -1.7710 -0.3083
```

Properties
Symmetry: No. 47
Mass density, g/cm³: 8.42
Energy above the most stable polymorph in this dataset, eV/f.u.: 0.00
N(E_F), states/eV per cell: 5.81
Total magnetization, μB/f.u.: 0.00
ΔE_f, eV/atom: -0.1714

=====

# 6
## BaMg3Bi (GGA-PBE)

Data for crystalline BaMg3Bi at its relaxed geometry.

Structure (POSCAR):
```
BaMg3Bi
1.0
6.1348 0.0000 0.0000
0.0000 6.1348 0.0000
0.0000 0.0000 6.1348
Mg Bi Ba
3 1 1
Cartesian
0.0000 3.0674 0.0000
0.0000 0.0000 3.0674
3.0674 0.0000 0.0000
3.0674 3.0674 3.0674
0.0000 0.0000 0.0000
```

Properties
Symmetry: No. 221
Mass density, g/cm³: 3.02
Energy above the most stable polymorph in this dataset, eV/f.u.: 4.54
N(E_F), states/eV per cell: 6.55
Total magnetization, μB/f.u.: 0.00
ΔE_f, eV/atom: 1.0515

=====

# 7
## BaCrHg (GGA-PBE)

Data for crystalline BaCrHg at its relaxed geometry.

Structure (POSCAR):
```
BaCrHg
1.0
4.9744 0.0000 0.0000
-2.4872 4.3080 0.0000
0.0000 0.0000 4.5959
Ba Cr Hg
1 1 1
Cartesian
0.0000 0.0000 4.5959
2.4872 1.4360 2.2977
0.0000 2.8720 2.2983
```

Properties
Symmetry: No. 187
Mass density, g/cm³: 6.57
Energy above the most stable polymorph in this dataset, eV/f.u.: 0.00
N(E_F), states/eV per cell: 2.35
Total magnetization, μB/f.u.: 4.85
ΔE_f, eV/atom: 0.2148

=====

# 8
## HfSn3 (GGA-PBE)

Data for crystalline HfSn3 at its relaxed geometry.

Structure (POSCAR):
```
HfSn3
1.0
3.2832 0.0000 0.0000
0.0000 5.4831 0.0000
-1.6416 -2.7415 5.3490
Hf Sn
1 3
Cartesian
0.0000 0.0181 0.0000
0.0000 1.8574 2.8187
1.6416 2.6641 0.0000
1.6416 -0.8842 2.5302
```

Properties
Symmetry: No. 44
Mass density, g/cm³: 9.22
N(E_F), states/eV per cell: 2.03
Total magnetization, μB/f.u.: 0.00
ΔE_f, eV/atom: -0.0457